Entry i
## VMoPS2 (PBE-GGA)

Data for a relaxed structure of VMoPS2.

## Properties
Total magnetization: 3.949 μB/f.u.
Crystal system: tetragonal

Unit cell a=4.484 b=4.484 c=4.669 alpha=90.00 beta=90.00 gamma=90.00
Space group P4/mmm (No. 123)
Asymmetric unit:
V  0.000  0.000  0.000 x1
Mo  0.500  0.500  0.500 x1
P  0.000  0.000  0.500 x1
S  0.000  0.500  0.000 x2

Entry ii
## VMoPS2 (PBE-GGA)

Data for a relaxed structure of VMoPS2.

## Properties
Total magnetization: 0.034 μB/f.u.
Crystal system: tetragonal

Unit cell a=4.603 b=4.603 c=4.785 alpha=90.00 beta=90.00 gamma=90.00
Space group P4/mmm (No. 123)
Asymmetric unit:
V  0.000  0.000  0.000 x1
Mo  0.500  0.500  0.500 x1
P  0.500  0.500  0.000 x1
S  0.000  0.500  0.500 x2

Which structure is the most stable? The one labeled entry i.

Entry i
## VMoP2S (PBE-GGA)

Data for a relaxed structure of VMoP2S.

## Properties
Total magnetization: 0.313 μB/f.u.
Crystal system: tetragonal

Unit cell a=4.676 b=4.676 c=4.614 alpha=90.00 beta=90.00 gamma=90.00
Space group P4/mmm (No. 123)
Asymmetric unit:
V  0.000  0.000  0.000 x1
Mo  0.500  0.500  0.500 x1
P  0.000  0.500  0.500 x2
S  0.500  0.500  0.000 x1

Entry ii
## VMoP2S (PBE-GGA)

Data for a relaxed structure of VMoP2S.

## Properties
Total magnetization: 3.549 μB/f.u.
Crystal system: tetragonal

Unit cell a=4.542 b=4.542 c=4.477 alpha=90.00 beta=90.00 gamma=90.00
Space group P4/mmm (No. 123)
Asymmetric unit:
V  0.000  0.000  0.000 x1
Mo  0.500  0.500  0.500 x1
P  0.000  0.500  0.000 x2
S  0.000  0.000  0.500 x1

Which structure is the most stable? The one labeled entry ii.

Entry i
## ZnMoP2S (PBE-GGA)

Data for a relaxed structure of ZnMoP2S.

## Properties
Total magnetization: 0.000 μB/f.u.
Crystal system: tetragonal

Unit cell a=4.786 b=4.786 c=4.568 alpha=90.00 beta=90.00 gamma=90.00
Space group P4/mmm (No. 123)
Asymmetric unit:
Zn  0.000  0.000  0.000 x1
Mo  0.500  0.500  0.500 x1
P  0.000  0.500  0.500 x2
S  0.500  0.500  0.000 x1

Entry ii
## ZnMoP2S (PBE-GGA)

Data for a relaxed structure of ZnMoP2S.

## Properties
Total magnetization: 0.001 μB/f.u.
Crystal system: tetragonal

Unit cell a=4.469 b=4.469 c=4.545 alpha=90.00 beta=90.00 gamma=90.00
Space group P4/mmm (No. 123)
Asymmetric unit:
Zn  0.000  0.000  0.000 x1
Mo  0.500  0.500  0.500 x1
P  0.000  0.500  0.000 x2
S  0.000  0.000  0.500 x1

Which structure is the most stable? The one labeled entry i.

Entry i
## ScMoP3 (PBE-GGA)

Data for a relaxed structure of ScMoP3.

## Properties
Total magnetization: 0.000 μB/f.u.
Crystal system: cubic

Unit cell a=4.731 b=4.731 c=4.731 alpha=90.00 beta=90.00 gamma=90.00
Space group Pm-3m (No. 221)
Asymmetric unit:
Sc  0.000  0.000  0.000 x1
Mo  0.500  0.500  0.500 x1
P  0.000  0.000  0.500 x3

Entry ii
## ScMoP3 (PBE-GGA)

Data for a relaxed structure of ScMoP3.

## Properties
Total magnetization: 0.000 μB/f.u.
Crystal system: cubic

Unit cell a=4.676 b=4.676 c=4.676 alpha=90.00 beta=90.00 gamma=90.00
Space group Pm-3m (No. 221)
Asymmetric unit:
Sc  0.000  0.000  0.000 x1
Mo  0.500  0.500  0.500 x1
P  0.000  0.500  0.500 x3

Which structure is the most stable? The one labeled entry ii.